# 1
Compound: Zr2Al
Source: the Alexandria database
Functional: PBE-GGA
Structure: relaxed

Structure (POSCAR):
```
Zr2Al
1.0
3.2258 0.0000 0.0000
-1.6129 2.7936 0.0000
0.0000 0.0000 7.2198
Zr Al
2 1
Direct
0.3333 0.6667 0.3268
0.6667 0.3333 0.6732
0.0000 0.0000 0.0000
```

Calculated values
- SG: P-3m1, No. 164
- Energy: -21.21 eV per cell
- D(E_F): 2.7 states/eV per cell
- Energy of formation from the pure elements: -125 meV per atom

=====

# 2
Compound: Zr2Al
Source: the Alexandria database
Functional: PBE-GGA
Structure: relaxed

Structure (POSCAR):
```
Zr2Al
1.0
4.8708 0.0000 0.0000
-2.4354 4.2183 0.0000
0.0000 0.0000 2.9685
Zr Al
2 1
Direct
0.3333 0.6667 0.0000
0.6667 0.3333 0.0000
0.0000 0.0000 0.5000
```

Calculated values
- SG: P6/mmm, No. 191
- Energy: -21.06 eV per cell
- D(E_F): 3.1 states/eV per cell
- Energy of formation from the pure elements: -73 meV per atom

=====

# 3
Compound: Zr2Al
Source: the Alexandria database
Functional: PBE-GGA
Structure: relaxed

Structure (POSCAR):
```
Zr2Al
1.0
5.7006 0.0000 0.0000
-2.8503 4.9369 0.0000
0.0000 0.0000 9.3369
Zr Al
8 4
Direct
0.0000 0.0000 0.0000
0.0000 0.0000 0.5000
0.1706 0.3412 0.2500
0.1706 0.8294 0.2500
0.3412 0.1706 0.7500
0.6588 0.8294 0.2500
0.8294 0.1706 0.7500
0.8294 0.6588 0.7500
0.3333 0.6667 0.5564
0.3333 0.6667 0.9436
0.6667 0.3333 0.0564
0.6667 0.3333 0.4436
```

Calculated values
- SG: P6_3/mmc, No. 194
- Energy: -80.02 eV per cell
- D(E_F): 13.4 states/eV per cell
- Energy of formation from the pure elements: 278 meV per atom